(1)
DFT (PBE) results for PuPa3Ge3 after structural relaxation.

a b c (Å): 6.039 6.039 9.154
angles (deg): 90.47 90.47 109.94
Positions (direct):
Pu1 0.142 0.142 0.067
Pu2 0.858 0.858 0.933
Pa1 0.051 0.051 0.697
Pa2 0.282 0.718 0.000
Pa3 0.356 0.644 0.500
Pa4 0.644 0.356 0.500
Pa5 0.718 0.282 0.000
Pa6 0.949 0.949 0.303
Ge1 0.008 0.463 0.266
Ge2 0.463 0.008 0.266
Ge3 0.463 0.463 0.786
Ge4 0.537 0.537 0.214
Ge5 0.537 0.992 0.734
Ge6 0.992 0.537 0.734

Summary:
* E_tot: -58.3 eV/f.u.
* E_form: -230 meV per atom
* polymorph energy (0 for the lowest one): 17 meV per atom
* SG: No. 12

***

(2)
DFT (PBE) results for Pu3PaGe2 after structural relaxation.

a b c (Å): 8.180 8.180 7.225
angles (deg): 110.45 110.45 31.44
Positions (direct):
Pu1 0.067 0.067 0.141
Pu2 0.269 0.269 0.587
Pu3 0.379 0.379 0.933
Pu4 0.621 0.621 0.067
Pu5 0.731 0.731 0.413
Pu6 0.933 0.933 0.859
Pa1 0.123 0.123 0.661
Pa2 0.877 0.877 0.339
Ge1 0.251 0.251 0.151
Ge2 0.476 0.476 0.652
Ge3 0.524 0.524 0.348
Ge4 0.749 0.749 0.849

Summary:
* E_tot: -63.9 eV/f.u.
* E_form: -355 meV per atom
* polymorph energy (0 for the lowest one): 0 meV per atom
* SG: No. 12

***

(3)
DFT (PBE) results for Pu4PaGe3 after structural relaxation.

a b c (Å): 8.695 8.695 8.695
angles (deg): 96.10 96.10 141.96
Positions (direct):
Pu1 0.084 0.780 0.864
Pu2 0.220 0.084 0.304
Pu3 0.280 0.584 0.864
Pu4 0.416 0.280 0.696
Pu5 0.584 0.720 0.304
Pu6 0.720 0.416 0.136
Pu7 0.780 0.916 0.696
Pu8 0.916 0.220 0.136
Pa1 0.250 0.750 0.500
Pa2 0.750 0.250 0.500
Ge1 0.160 0.340 0.500
Ge2 0.250 0.250 0.000
Ge3 0.340 0.840 0.180
Ge4 0.660 0.160 0.820
Ge5 0.750 0.750 0.000
Ge6 0.840 0.660 0.500

Summary:
* E_tot: -83.6 eV/f.u.
* E_form: -366 meV per atom
* SG: No. 140

***

(4)
DFT (PBE) results for PuPa2Ge3 after structural relaxation.

a b c (Å): 7.175 7.175 7.175
angles (deg): 146.22 131.79 60.17
Positions (direct):
Pu1 0.000 0.000 0.000
Pa1 0.333 0.333 0.000
Pa2 0.667 0.667 0.000
Ge1 0.171 0.671 0.500
Ge2 0.500 0.000 0.500
Ge3 0.829 0.329 0.500

Summary:
* E_tot: -49.4 eV/f.u.
* E_form: -373 meV per atom
* polymorph energy (0 for the lowest one): 0 meV per atom
* SG: No. 71